Entry 1:
Density functional theory data (GGA-PBE) for crystalline Cs3Rb4O at its relaxed geometry.

```
16
Lattice="7.753 0.000 0.000 0.000 15.405 0.000 0.000 0.000 12.616" Properties=species:S:1:pos:R:3 pbc="T T T"
Cs 4.347 10.452 0.000
Cs 0.494 9.604 3.576
Cs 4.371 5.801 2.731
Cs 0.471 4.954 6.308
Cs 4.371 5.801 9.884
Cs 0.494 9.604 9.039
Rb 0.522 13.884 0.000
Rb 4.961 0.974 0.000
Rb 0.582 2.104 2.110
Rb 4.458 13.302 4.197
Rb 1.085 14.431 6.308
Rb 4.398 1.521 6.308
Rb 4.458 13.302 8.418
Rb 0.582 2.104 10.505
O 7.518 0.928 0.000
O 3.642 14.477 6.308
```

Summary:
N(E_F) in states/eV per cell: 12.15
Size of the total moment in μB/f.u.: 0.00
Excess energy over the best structure of this formula in the dataset in meV/atom: 15.8
Formation energy (no corrections) in eV/atom: -0.3219
Space group: No. 31
Crystal system: orthorhombic

=====

Entry 2:
Density functional theory data (GGA-PBE) for crystalline Cs5Rb3O2 at its relaxed geometry.

```
20
Lattice="-6.461 -2.474 6.156 -10.285 -4.881 -5.790 -0.810 -12.706 1.010" Properties=species:S:1:pos:R:3 pbc="T T T"
Cs -7.163 -9.412 -0.851
Cs -10.393 -10.649 2.227
Cs -11.701 -14.915 -0.860
Cs -2.624 -3.908 -0.842
Cs -5.854 -5.145 2.236
Cs -14.932 -16.152 2.218
Cs -7.887 -4.565 -3.146
Cs -9.669 -15.496 4.522
Cs -5.315 -10.594 4.096
Cs -12.241 -9.467 -2.720
Rb -1.615 -0.618 1.539
Rb -4.846 -1.855 4.617
Rb -6.406 -14.279 1.470
Rb -11.150 -5.781 -0.094
Rb -15.501 -10.672 0.340
Rb -2.055 -9.388 1.036
O -10.514 -15.739 -3.428
O -7.042 -4.321 4.804
O -13.768 -16.957 -0.367
O -3.788 -3.103 1.743
```

Summary:
N(E_F) in states/eV per cell: 11.24
Size of the total moment in μB/f.u.: 0.00
Excess energy over the best structure of this formula in the dataset in meV/atom: 0.0
Formation energy (no corrections) in eV/atom: -0.5519
Space group: No. 72
Crystal system: orthorhombic

=====

Entry 3:
Density functional theory data (GGA-PBE) for crystalline CsRb14O at its relaxed geometry.

```
16
Lattice="4.168 6.227 -7.741 -9.961 0.308 -4.094 -2.347 9.563 6.430" Properties=species:S:1:pos:R:3 pbc="T T T"
Cs 1.978 10.583 -4.264
Rb 2.539 5.545 -7.321
Rb -4.415 2.631 -5.526
Rb -0.191 6.807 0.561
Rb 0.536 2.521 -3.554
Rb -3.898 10.989 -7.012
Rb -2.288 5.707 -9.324
Rb -3.730 3.735 -1.113
Rb -4.811 8.138 1.847
Rb -6.353 6.694 -6.472
Rb -7.434 11.097 -3.512
Rb -1.589 6.874 -4.566
Rb -2.575 10.891 -1.866
Rb -8.697 3.705 -2.837
Rb -9.768 8.068 0.096
O -9.729 5.679 -1.242
```

Summary:
N(E_F) in states/eV per cell: 11.62
Size of the total moment in μB/f.u.: 0.00
Formation energy (no corrections) in eV/atom: -0.1627
Space group: No. 38
Crystal system: orthorhombic

=====

Entry 4:
Density functional theory data (GGA-PBE) for crystalline Cs3Rb5O at its relaxed geometry.

```
18
Lattice="9.791 -0.727 -3.509 -2.407 9.701 -2.966 0.572 1.773 16.778" Properties=species:S:1:pos:R:3 pbc="T T T"
Cs 6.145 5.150 0.478
Cs 7.050 8.061 5.545
Cs 0.000 0.000 0.000
Cs -0.917 5.737 6.906
Cs 1.812 5.598 9.825
Cs 0.906 2.687 4.758
Rb 8.393 5.660 8.374
Rb 2.396 2.912 -2.101
Rb 6.673 3.360 12.266
Rb 4.707 2.068 8.234
Rb 3.250 8.680 2.069
Rb 1.284 7.388 -1.963
Rb 1.101 9.424 9.692
Rb 4.989 6.063 -4.374
Rb -0.436 5.088 1.929
Rb 6.856 1.324 0.611
O 8.403 3.522 0.797
O -0.446 7.226 9.507
```

Summary:
N(E_F) in states/eV per cell: 14.17
Size of the total moment in μB/f.u.: 0.00
Formation energy (no corrections) in eV/atom: -0.2577
Space group: No. 12
Crystal system: monoclinic

=====

Entry 5:
Density functional theory data (GGA-PBE) for crystalline Cs3RbO at its relaxed geometry.

```
5
Lattice="-3.700 1.876 -4.926 -5.248 -0.749 3.657 0.492 6.115 1.959" Properties=species:S:1:pos:R:3 pbc="T T T"
Cs -2.624 -0.374 1.828
Cs 0.246 3.058 0.980
Cs -1.850 0.938 -2.463
O 0.000 0.000 0.000
Rb -4.228 3.621 0.345
```

Summary:
N(E_F) in states/eV per cell: 0.69
Size of the total moment in μB/f.u.: 0.00
Excess energy over the best structure of this formula in the dataset in meV/atom: 179.1
Formation energy (no corrections) in eV/atom: -0.4013
Space group: No. 221
Crystal system: cubic

=====

Entry 6:
Density functional theory data (GGA-PBE) for crystalline Cs8Rb6O at its relaxed geometry.

```
15
Lattice="10.918 -0.012 3.603 2.602 10.603 3.603 -0.015 -0.012 11.497" Properties=species:S:1:pos:R:3 pbc="T T T"
Cs 2.881 7.771 14.154
Cs 2.660 9.642 6.433
Cs 2.960 0.275 11.515
Cs 9.992 7.828 13.839
Cs 3.512 2.752 4.865
Cs 10.544 10.305 7.188
Cs 10.844 0.937 12.270
Cs 10.623 2.808 4.549
Rb 3.231 5.217 9.285
Rb 6.528 8.691 10.240
Rb 6.573 4.258 12.714
Rb 6.931 6.321 5.989
Rb 6.976 1.889 8.464
Rb 10.273 5.363 9.418
O 0.000 0.000 0.000
```

Summary:
N(E_F) in states/eV per cell: 10.90
Size of the total moment in μB/f.u.: 0.00
Formation energy (no corrections) in eV/atom: -0.2018
Space group: No. 148
Crystal system: trigonal

=====

Entry 7:
Density functional theory data (GGA-PBE) for crystalline Cs4Rb5O at its relaxed geometry.

```
10
Lattice="4.734 0.000 0.000 0.000 14.622 0.753 -2.367 -3.109 11.238" Properties=species:S:1:pos:R:3 pbc="T T T"
Cs 2.367 -0.194 2.832
Cs 0.000 1.980 0.128
Cs 0.000 11.706 9.160
Cs 2.367 9.532 11.864
Rb 0.000 4.759 4.084
Rb 0.000 9.607 4.552
Rb 2.367 1.905 7.439
Rb 2.367 7.311 0.377
Rb 2.367 6.753 7.908
O 2.367 0.000 0.000
```

Summary:
N(E_F) in states/eV per cell: 6.14
Size of the total moment in μB/f.u.: 0.00
Formation energy (no corrections) in eV/atom: -0.2856
Space group: No. 12
Crystal system: monoclinic

=====

Entry 8:
Density functional theory data (GGA-PBE) for crystalline CsRbO3 at its relaxed geometry.

```
5
Lattice="-4.848 -1.892 -0.301 1.209 -2.385 -4.475 1.487 -4.232 2.657" Properties=species:S:1:pos:R:3 pbc="T T T"
Cs -1.076 -4.255 -1.060
Rb 0.000 0.000 0.000
O 0.604 -1.192 -2.238
O 0.743 -2.116 1.328
O -2.424 -0.946 -0.151
```

Summary:
N(E_F) in states/eV per cell: 11.57
Size of the total moment in μB/f.u.: 4.00
Formation energy (no corrections) in eV/atom: 0.0844
Space group: No. 221
Crystal system: cubic

=====

Entry 9:
Density functional theory data (GGA-PBE) for crystalline CsRbO at its relaxed geometry.

```
6
Lattice="-1.166 -3.643 -1.327 2.321 2.357 -2.334 12.877 -6.423 6.316" Properties=species:S:1:pos:R:3 pbc="T T T"
O 0.000 0.000 0.000
O 7.597 -2.854 1.159
Rb 5.179 -2.583 2.540
Rb 7.698 -3.840 3.776
Cs 12.660 -5.380 3.643
Cs 2.535 -0.329 -1.324
```

Summary:
N(E_F) in states/eV per cell: 3.71
Size of the total moment in μB/f.u.: 0.05
Formation energy (no corrections) in eV/atom: -0.8385
Space group: No. 187
Crystal system: hexagonal

=====

Entry 10:
Density functional theory data (GGA-PBE) for crystalline Cs2Rb3O at its relaxed geometry.

```
6
Lattice="5.728 0.000 1.254 2.147 8.642 3.901 0.925 1.955 9.478" Properties=species:S:1:pos:R:3 pbc="T T T"
Cs 5.169 5.333 3.804
Cs 4.513 1.742 6.799
Rb 3.857 7.466 9.796
Rb 7.310 7.730 7.731
Rb 6.757 4.702 10.256
O 6.701 7.543 10.512
```

Summary:
N(E_F) in states/eV per cell: 3.27
Size of the total moment in μB/f.u.: 0.00
Formation energy (no corrections) in eV/atom: -0.4607
Space group: No. 44
Crystal system: orthorhombic

=====

Entry 11:
Density functional theory data (GGA-PBE) for crystalline Cs4RbO at its relaxed geometry.

```
12
Lattice="5.356 0.000 0.000 0.000 12.859 0.000 -2.678 0.000 13.211" Properties=species:S:1:pos:R:3 pbc="T T T"
Cs 2.678 3.183 11.360
Cs 0.000 9.613 1.851
Cs 2.678 12.419 0.817
Cs 0.000 5.990 12.394
Cs 2.678 8.298 4.539
Cs 0.000 1.869 8.671
Cs 2.678 12.323 4.858
Cs 0.000 5.894 8.353
Rb 2.678 10.281 9.766
Rb 0.000 3.851 3.444
O 2.678 10.503 2.849
O 0.000 4.074 10.361
```

Summary:
N(E_F) in states/eV per cell: 7.05
Size of the total moment in μB/f.u.: 0.00
Formation energy (no corrections) in eV/atom: -0.4940
Space group: No. 36
Crystal system: orthorhombic

=====

Entry 12:
Density functional theory data (GGA-PBE) for crystalline Cs2Rb8O at its relaxed geometry.

```
11
Lattice="-1.336 7.134 3.936 -8.908 0.089 -3.185 4.092 -9.480 9.913" Properties=species:S:1:pos:R:3 pbc="T T T"
Cs -0.435 -0.078 8.655
Cs -5.716 -2.178 2.008
Rb -3.071 -4.960 7.949
Rb -8.580 2.616 1.007
Rb -4.729 0.174 6.741
Rb 0.688 -2.291 13.048
Rb -1.422 -2.430 3.922
Rb 2.428 -4.872 9.656
Rb -3.081 2.704 2.714
Rb -6.839 0.035 -2.385
O -0.668 3.567 1.968
```

Summary:
N(E_F) in states/eV per cell: 8.68
Size of the total moment in μB/f.u.: 0.00
Formation energy (no corrections) in eV/atom: -0.1918
Space group: No. 12
Crystal system: monoclinic

=====

Entry 13:
Density functional theory data (GGA-PBE) for crystalline Cs2Rb3ReO6 at its relaxed geometry.

```
12
Lattice="-1.367 1.961 -6.582 -3.677 -5.143 3.010 -2.308 5.172 3.274" Properties=species:S:1:pos:R:3 pbc="T T T"
Cs -2.912 -2.789 -0.167
Cs -2.132 -0.392 -3.404
Rb -4.479 -1.474 3.186
Rb -2.873 3.464 -3.482
Rb -3.676 0.995 -0.148
Re 0.000 0.000 0.000
O -5.786 2.373 -1.361
O -4.604 -1.724 -2.386
O -1.566 -0.383 1.064
O -6.303 0.784 0.786
O -2.747 3.715 2.089
O -1.048 1.207 -1.083
```

Summary:
N(E_F) in states/eV per cell: 0.00
Size of the total moment in μB/f.u.: 0.00
Formation energy (no corrections) in eV/atom: -1.5669
Space group: No. 12
Crystal system: monoclinic

=====

Entry 14:
Density functional theory data (GGA-PBE) for crystalline CsRb3Re2O8 at its relaxed geometry.

```
14
Lattice="6.549 0.000 0.000 -3.274 5.671 0.000 0.000 0.000 8.970" Properties=species:S:1:pos:R:3 pbc="T T T"
Cs 0.000 0.000 4.485
Rb 0.000 3.781 6.270
Rb 3.274 1.890 2.700
Rb 0.000 0.000 0.000
Re 0.000 3.781 1.741
Re 3.274 1.890 7.230
O 0.000 3.781 8.920
O 3.274 1.890 0.050
O -1.465 4.627 2.391
O 4.739 1.045 6.579
O 0.000 2.089 2.391
O 3.274 3.582 6.579
O 1.465 4.627 2.391
O 1.809 1.045 6.579
```

Summary:
N(E_F) in states/eV per cell: 11.45
Size of the total moment in μB/f.u.: 2.01
Formation energy (no corrections) in eV/atom: -1.6965
Space group: No. 164
Crystal system: trigonal

=====

Entry 15:
Density functional theory data (GGA-PBE) for crystalline CsRbReO4 at its relaxed geometry.

```
7
Lattice="-5.280 -2.579 3.576 -0.027 -5.560 -4.051 5.538 2.026 3.022" Properties=species:S:1:pos:R:3 pbc="T T T"
Cs 0.000 0.000 0.000
Rb -2.654 -4.070 -0.237
Re 1.428 -3.802 -0.633
O 2.779 0.784 2.673
O -0.044 -4.721 -1.123
O 1.169 -3.581 1.138
O -3.442 -4.708 2.406
```

Summary:
N(E_F) in states/eV per cell: 0.22
Size of the total moment in μB/f.u.: 1.00
Formation energy (no corrections) in eV/atom: -1.7262
Space group: No. 82
Crystal system: tetragonal

=====

Entry 16:
Density functional theory data (GGA-PBE) for crystalline CsRb2RhO2 at its relaxed geometry.

```
12
Lattice="-4.135 -0.994 2.243 0.422 -5.951 -1.859 5.773 -2.561 9.507" Properties=species:S:1:pos:R:3 pbc="T T T"
Cs -1.857 -3.472 0.192
Cs 2.887 -1.280 4.753
Rb -0.767 -1.388 3.125
Rb 1.842 -4.014 1.618
Rb 2.826 -8.117 6.766
Rb 4.352 -4.498 6.030
Rh 0.000 0.000 0.000
Rh 1.030 -4.753 4.945
O 0.436 -5.731 3.417
O 1.624 -3.774 6.474
O 5.419 -6.926 6.920
O 0.776 -1.586 0.727
```

Summary:
Size of the total moment in μB/f.u.: 1.99
Formation energy (no corrections) in eV/atom: -0.8623
Space group: No. 58
Crystal system: orthorhombic

=====

Entry 17:
Density functional theory data (GGA-PBE) for crystalline CsRbRhO2 at its relaxed geometry.

```
10
Lattice="-8.561 -3.735 -2.921 2.132 -1.281 -4.610 1.673 -5.670 2.349" Properties=species:S:1:pos:R:3 pbc="T T T"
Cs 0.124 -3.698 -0.403
Cs -4.881 -6.988 -4.779
Rb -1.130 -2.151 -4.389
Rb -5.299 -2.865 -3.142
Rh 0.000 0.000 0.000
Rh 1.066 -0.640 -2.305
O -5.978 -8.252 -1.959
O -6.967 -4.901 -3.348
O 2.210 -5.785 -1.835
O 1.221 -2.434 -3.223
```

Summary:
N(E_F) in states/eV per cell: 5.59
Size of the total moment in μB/f.u.: 0.00
Formation energy (no corrections) in eV/atom: -0.9285
Space group: No. 51
Crystal system: orthorhombic

=====

Entry 18:
Density functional theory data (GGA-PBE) for crystalline CsRb2RhO4 at its relaxed geometry.

```
8
Lattice="6.306 0.261 0.399 -2.451 5.816 -0.399 -2.451 -2.706 5.163" Properties=species:S:1:pos:R:3 pbc="T T T"
Cs 0.702 -0.445 3.972
Rb 0.702 3.816 1.191
Rb 0.000 0.000 0.000
Rh -2.451 1.555 2.382
O 1.994 1.790 2.573
O 4.484 0.056 2.888
O -1.681 2.427 0.915
O -1.990 2.468 3.950
```

Summary:
Size of the total moment in μB/f.u.: 0.00
Formation energy (no corrections) in eV/atom: -1.0252
Space group: No. 82
Crystal system: tetragonal

=====

Entry 19:
Density functional theory data (GGA-PBE) for crystalline Cs2Rb3RhO6 at its relaxed geometry.

```
12
Lattice="6.959 -0.008 -0.026 -3.485 6.023 -0.026 -1.182 -2.046 6.113" Properties=species:S:1:pos:R:3 pbc="T T T"
Cs -0.034 4.030 -0.026
Cs 3.508 1.985 -0.026
Rb -2.472 4.074 3.031
Rb 4.764 -0.105 3.031
Rb 1.146 1.985 3.031
Rh 0.000 0.000 0.000
O 3.106 2.588 4.896
O 2.661 4.607 1.058
O -0.814 1.381 1.166
O 0.689 3.984 4.896
O -0.368 -0.638 5.003
O 1.603 -0.015 1.166
```

Summary:
N(E_F) in states/eV per cell: 9.20
Size of the total moment in μB/f.u.: 1.91
Formation energy (no corrections) in eV/atom: -0.9671
Space group: No. 12
Crystal system: monoclinic

=====

Entry 20:
Density functional theory data (GGA-PBE) for crystalline CsRb3Ru2O8 at its relaxed geometry.

```
14
Lattice="6.455 0.000 0.000 -3.228 5.590 0.000 0.000 0.000 9.103" Properties=species:S:1:pos:R:3 pbc="T T T"
Cs 0.000 0.000 4.552
Rb 0.000 3.727 6.450
Rb 3.228 1.863 2.653
Rb 0.000 0.000 0.000
Ru 0.000 3.727 1.782
Ru 3.228 1.863 7.321
O 0.000 3.727 0.004
O 3.228 1.863 9.099
O -1.458 4.568 2.435
O 4.685 1.022 6.668
O 0.000 2.044 2.435
O 3.228 3.547 6.668
O 1.458 4.568 2.435
O 1.770 1.022 6.668
```

Summary:
Size of the total moment in μB/f.u.: 4.00
Formation energy (no corrections) in eV/atom: -1.2898
Space group: No. 164
Crystal system: trigonal